No. 1
This record from Alexandria via LeMat-Bulk describes crystalline TbDy5Y2Ho at its relaxed geometry. The functional is PBE.

```
TbDy5Y2Ho
1.0
5.602 0.000 0.000
-2.801 9.887 0.000
0.000 0.000 10.577
Tb Dy Y Ho
2 10 4 2
direct
0.586 0.172 0.957 Tb
0.414 0.828 0.457 Tb
0.391 0.781 0.022 Dy
0.717 0.435 0.809 Dy
0.479 0.959 0.739 Dy
0.299 0.598 0.707 Dy
0.981 0.962 0.524 Dy
0.609 0.219 0.522 Dy
0.283 0.565 0.309 Dy
0.521 0.041 0.239 Dy
0.701 0.402 0.207 Dy
0.019 0.038 0.024 Dy
0.886 0.772 0.819 Y
0.110 0.220 0.736 Y
0.114 0.228 0.319 Y
0.890 0.780 0.236 Y
0.799 0.598 0.510 Ho
0.201 0.402 0.010 Ho
```

Calculated values
The calculation puts the formation energy at 0.15 eV/atom.


No. 2
This record from Alexandria via LeMat-Bulk describes crystalline TbDyY2Ho6 at its relaxed geometry. The functional is PBE.

```
TbDyY2Ho6
1.0
-5.880 -3.997 6.284
7.112 -3.798 3.395
-1.877 8.146 2.579
Tb Dy Y Ho
2 2 4 12
direct
0.250 0.975 0.025 Tb
0.750 0.025 0.975 Tb
0.250 0.409 0.591 Dy
0.750 0.591 0.409 Dy
0.455 0.803 0.699 Y
0.045 0.301 0.197 Y
0.545 0.197 0.301 Y
0.955 0.699 0.803 Y
0.057 0.123 0.751 Ho
0.443 0.249 0.877 Ho
0.943 0.877 0.249 Ho
0.557 0.751 0.123 Ho
0.315 0.981 0.431 Ho
0.185 0.569 0.019 Ho
0.685 0.019 0.569 Ho
0.815 0.431 0.981 Ho
0.119 0.709 0.491 Ho
0.381 0.509 0.291 Ho
0.881 0.291 0.509 Ho
0.619 0.491 0.709 Ho
```

Calculated values
The calculation puts the formation energy at 0.13 eV/atom.


No. 3
This record from Alexandria via LeMat-Bulk describes crystalline TbDy2Y2Ho2 at its relaxed geometry. The functional is PBE.

```
TbDy2Y2Ho2
1.0
5.653 0.000 0.000
2.827 4.896 0.000
2.827 1.632 8.124
Tb Dy Y Ho
1 2 2 2
direct
0.000 0.000 0.000 Tb
0.715 0.715 0.854 Dy
0.285 0.285 0.146 Dy
0.142 0.142 0.574 Y
0.858 0.858 0.426 Y
0.572 0.572 0.285 Ho
0.428 0.428 0.715 Ho
```

Calculated values
The calculation puts the formation energy at 0.14 eV/atom.


No. 4
This record from Alexandria via LeMat-Bulk describes crystalline Tb2Dy5YHo at its relaxed geometry. The functional is PBE.

```
Tb2Dy5YHo
1.0
-3.782 -7.302 -2.916
-2.092 -2.184 8.184
-3.654 8.437 -3.333
Tb Dy Y Ho
4 10 2 2
direct
0.116 0.384 0.000 Tb
0.616 0.116 0.000 Tb
0.384 0.884 0.000 Tb
0.884 0.616 0.000 Tb
0.929 0.429 0.273 Dy
0.656 0.156 0.727 Dy
0.071 0.571 0.727 Dy
0.156 0.071 0.727 Dy
0.571 0.656 0.727 Dy
0.844 0.929 0.273 Dy
0.429 0.344 0.273 Dy
0.344 0.844 0.273 Dy
0.500 0.500 0.000 Dy
0.000 0.000 0.000 Dy
0.250 0.250 0.500 Y
0.750 0.750 0.500 Y
0.250 0.750 0.500 Ho
0.750 0.250 0.500 Ho
```

Calculated values
The calculation puts the formation energy at 0.30 eV/atom.


No. 5
This record from Alexandria via LeMat-Bulk describes crystalline TbDy2YHo5 at its relaxed geometry. The functional is PBE.

```
TbDy2YHo5
1.0
-3.451 -3.909 -1.986
9.019 -1.592 -4.700
2.895 -6.497 7.757
Tb Dy Y Ho
2 4 2 10
direct
0.800 0.600 0.511 Tb
0.200 0.400 0.011 Tb
0.887 0.774 0.818 Dy
0.110 0.220 0.737 Dy
0.113 0.226 0.318 Dy
0.890 0.780 0.237 Dy
0.587 0.174 0.955 Y
0.413 0.826 0.455 Y
0.390 0.780 0.023 Ho
0.719 0.439 0.808 Ho
0.479 0.958 0.738 Ho
0.300 0.601 0.709 Ho
0.982 0.965 0.525 Ho
0.610 0.220 0.523 Ho
0.281 0.561 0.308 Ho
0.521 0.042 0.238 Ho
0.700 0.399 0.209 Ho
0.018 0.035 0.025 Ho
```

Calculated values
The calculation puts the formation energy at 0.16 eV/atom.


No. 6
This record from Alexandria via LeMat-Bulk describes crystalline Tb2Dy2Y2Ho at its relaxed geometry. The functional is PBE.

```
Tb2Dy2Y2Ho
1.0
-1.460 -0.323 5.463
-3.535 -4.064 1.751
4.663 -6.364 3.805
Tb Dy Y Ho
2 2 2 1
direct
0.713 0.713 0.862 Tb
0.287 0.287 0.138 Tb
0.571 0.571 0.288 Dy
0.429 0.429 0.712 Dy
0.143 0.143 0.570 Y
0.857 0.857 0.430 Y
0.000 0.000 0.000 Ho
```

Calculated values
The calculation puts the formation energy at 0.14 eV/atom.